RbCd3Ag: relaxed, PBE.

The electronic total energy is -1.36 eV/atom. Its total magnetization is 0.00 Bohr magnetons per cell.

It has space group Cmcm (No. 63), with a = 7.323 Å, b = 13.333 Å, c = 5.793 Å, α = 90.00°, β = 90.00° and γ = 90.00°. The inequivalent atoms are Rb at (0.000, 0.092, 0.250), Cd at (0.000, 0.308, 0.750), Cd at (0.208, 0.343, 0.250) and Ag at (0.000, 0.500, 0.000).